An optimized crystal structure of Ho4AlCd. Source: the Alexandria database, functional PBE.

Results
Calculated total energy, eV per atom: -4.04
ΔE_f, eV/atom: -0.208
Crystal system: monoclinic
Volume, Å³/atom: 27.03
Distance to the lowest polymorph of the same formula, meV/atom: 0
Symmetry: No. 12

Cell: 3.475 7.082 8.651 Å, 121.20 78.41 75.80°
Sites, in units of the cell vectors:
1 Ho 0.833 0.513 0.820
2 Ho 0.319 0.028 0.333
3 Ho 0.167 0.487 0.180
4 Ho 0.681 0.972 0.667
5 Al 0.500 0.500 0.500
6 Cd 0.000 0.000 0.000